This record from Alexandria describes a crystal of NaEuP4O12 relaxed with PBEsol. The functional is meta-GGA SCAN.

Properties
total energy: -12.272 eV/atom
total magnetic moment: 5.92 μB/f.u.

Cell lengths 7.2175, 13.1144, 12.1736 Å; angles 90.00, 125.77, 90.00 degrees
Atoms (fractional coordinates):
Na  0.0647  0.2220  0.0637
Na  0.0647  0.2780  0.5637
Na  0.9353  0.7220  0.4363
Na  0.9353  0.7780  0.9363
Eu  0.4642  0.2191  0.9770
Eu  0.4642  0.2809  0.4770
Eu  0.5358  0.7191  0.5230
Eu  0.5358  0.7809  0.0230
P  0.0081  0.6021  0.2566
P  0.0081  0.8979  0.7566
P  0.1115  0.6150  0.7355
P  0.1115  0.8850  0.2355
P  0.3452  0.6286  0.1963
P  0.3452  0.8714  0.6963
P  0.4326  0.0905  0.6999
P  0.4326  0.4095  0.1999
P  0.5674  0.5905  0.8001
P  0.5674  0.9095  0.3001
P  0.6548  0.1286  0.3037
P  0.6548  0.3714  0.8037
P  0.8885  0.1150  0.7645
P  0.8885  0.3850  0.2645
P  0.9919  0.1021  0.2434
P  0.9919  0.3979  0.7434
O  0.0719  0.5131  0.7900
O  0.0719  0.9869  0.2900
O  0.0961  0.6254  0.1656
O  0.0961  0.8746  0.6656
O  0.0974  0.1469  0.8988
O  0.0974  0.3531  0.3988
O  0.1941  0.6090  0.4058
O  0.1941  0.8910  0.9058
O  0.2007  0.1664  0.2951
O  0.2007  0.3336  0.7951
O  0.2146  0.6896  0.8495
O  0.2146  0.8104  0.3495
O  0.2942  0.5802  0.7077
O  0.2942  0.9198  0.2077
O  0.3261  0.7115  0.1053
O  0.3261  0.7885  0.6053
O  0.3474  0.1623  0.5836
O  0.3474  0.3377  0.0836
O  0.3535  0.5218  0.1345
O  0.3535  0.9782  0.6345
O  0.3631  0.1104  0.7923
O  0.3631  0.3896  0.2923
O  0.4730  0.1327  0.1547
O  0.4730  0.3673  0.6547
O  0.5270  0.6327  0.3453
O  0.5270  0.8673  0.8453
O  0.6369  0.6104  0.7077
O  0.6369  0.8896  0.2077
O  0.6465  0.0218  0.3655
O  0.6465  0.4782  0.8655
O  0.6526  0.6623  0.9164
O  0.6526  0.8377  0.4164
O  0.6739  0.2115  0.3947
O  0.6739  0.2885  0.8947
O  0.7058  0.0802  0.7923
O  0.7058  0.4198  0.2923
O  0.7854  0.1896  0.6505
O  0.7854  0.3104  0.1505
O  0.7993  0.6664  0.2049
O  0.7993  0.8336  0.7049
O  0.8059  0.1090  0.0942
O  0.8059  0.3910  0.5942
O  0.9026  0.6469  0.6012
O  0.9026  0.8531  0.1012
O  0.9039  0.1254  0.3344
O  0.9039  0.3746  0.8344
O  0.9281  0.0131  0.7100
O  0.9281  0.4869  0.2100


This record from Alexandria describes a crystal of BaSr2Li relaxed with PBEsol. The functional is meta-GGA SCAN.

Properties
total energy: -21.611 eV/atom
total magnetic moment: 0.07 μB/f.u.
ΔE_f: 0.012 eV/atom

Cell lengths 4.2805, 4.2805, 10.1013 Å; angles 90.00, 90.00, 90.00 degrees
Atoms (fractional coordinates):
Ba  0.0000  0.0000  0.0000
Sr  0.0000  0.0000  0.4081
Sr  0.5000  0.5000  0.6946
Li  0.5000  0.5000  0.2164


This record from Alexandria describes a crystal of ScZn relaxed with PBEsol. The functional is meta-GGA SCAN.

Properties
total energy: -13.924 eV/atom
total magnetic moment: 0.91 μB/f.u.
ΔE_f: -0.048 eV/atom

Cell lengths 4.6487, 4.6487, 4.6487 Å; angles 60.00, 60.00, 60.00 degrees
Atoms (fractional coordinates):
Sc  0.1250  0.1250  0.1250
Sc  0.8750  0.8750  0.8750
Zn  0.3750  0.3750  0.3750
Zn  0.6250  0.6250  0.6250


This record from Alexandria describes a crystal of CrAs2Pb relaxed with PBEsol. The functional is meta-GGA SCAN.

Properties
total energy: -33.524 eV/atom
total magnetic moment: 2.27 μB/f.u.
ΔE_f: 0.113 eV/atom

Cell lengths 7.9203, 7.9203, 7.9203 Å; angles 157.65, 155.26, 33.58 degrees
Atoms (fractional coordinates):
Cr  0.0000  0.0000  0.0000
As  0.5594  0.5594  0.0000
As  0.8805  0.3805  0.5000
Pb  0.2226  0.7226  0.5000


This record from Alexandria describes a crystal of Tl2SiPt relaxed with PBEsol. The functional is meta-GGA SCAN.

Properties
total energy: -55.711 eV/atom
total magnetic moment: 0.00 μB/f.u.

Cell lengths 3.1446, 3.1446, 8.1337 Å; angles 90.00, 90.00, 90.00 degrees
Atoms (fractional coordinates):
Tl  0.0000  0.0000  0.2348
Tl  0.0000  0.0000  0.7652
Si  0.5000  0.5000  0.5000
Pt  0.5000  0.5000  0.0000


This record from Alexandria describes a crystal of KC2I relaxed with PBEsol. The functional is meta-GGA SCAN.

Properties
total energy: -14.220 eV/atom
total magnetic moment: 0.00 μB/f.u.

Cell lengths 5.8880, 5.8880, 5.8880 Å; angles 113.97, 113.97, 100.81 degrees
Atoms (fractional coordinates):
K  0.0000  0.0000  0.0000
K  0.7500  0.2500  0.5000
C  0.2140  0.1250  0.5890
C  0.3750  0.7860  0.9110
C  0.5360  0.6250  0.4110
C  0.8750  0.4640  0.0890
I  0.2500  0.7500  0.5000
I  0.5000  0.5000  0.0000


This record from Alexandria describes a crystal of Rb3CrF relaxed with PBEsol. The functional is meta-GGA SCAN.

Properties
total energy: -16.906 eV/atom
total magnetic moment: 6.00 μB/f.u.

Cell lengths 6.7519, 6.7519, 6.7519 Å; angles 90.00, 90.00, 90.00 degrees
Atoms (fractional coordinates):
Rb  0.0000  0.0000  0.5000
Rb  0.0000  0.5000  0.0000
Rb  0.5000  0.0000  0.0000
Cr  0.0000  0.0000  0.0000
F  0.5000  0.5000  0.5000


This record from Alexandria describes a crystal of AgCl2 relaxed with PBEsol. The functional is meta-GGA SCAN.

Properties
total energy: -16.159 eV/atom
total magnetic moment: 0.57 μB/f.u.

Cell lengths 6.1100, 6.1100, 6.8478 Å; angles 90.00, 90.00, 146.08 degrees
Atoms (fractional coordinates):
Ag  0.0875  0.9125  0.7500
Ag  0.9125  0.0875  0.2500
Cl  0.2735  0.7265  0.2500
Cl  0.4466  0.5534  0.7500
Cl  0.5534  0.4466  0.2500
Cl  0.7265  0.2735  0.7500


This record from Alexandria describes a crystal of GaNi3 relaxed with PBEsol. The functional is meta-GGA SCAN.

Properties
total energy: -16.497 eV/atom
total magnetic moment: 1.00 μB/f.u.
ΔE_f: -0.280 eV/atom

Cell lengths 3.5265, 3.5265, 3.5265 Å; angles 90.00, 90.00, 90.00 degrees
Atoms (fractional coordinates):
Ga  0.0000  0.0000  0.0000
Ni  0.0000  0.5000  0.5000
Ni  0.5000  0.0000  0.5000
Ni  0.5000  0.5000  0.0000


This record from Alexandria describes a crystal of ZrPt7 relaxed with PBEsol. The functional is meta-GGA SCAN.

Properties
total energy: -65.779 eV/atom
total magnetic moment: 0.00 μB/f.u.
ΔE_f: -0.523 eV/atom

Cell lengths 5.5960, 5.5960, 5.5960 Å; angles 60.00, 60.00, 60.00 degrees
Atoms (fractional coordinates):
Zr  0.0000  0.0000  0.0000
Pt  0.0000  0.0000  0.5000
Pt  0.0000  0.5000  0.0000
Pt  0.0000  0.5000  0.5000
Pt  0.5000  0.0000  0.0000
Pt  0.5000  0.0000  0.5000
Pt  0.5000  0.5000  0.0000
Pt  0.5000  0.5000  0.5000


This record from Alexandria describes a crystal of Sm2Se2O relaxed with PBEsol. The functional is meta-GGA SCAN.

Properties
total energy: -29.808 eV/atom
total magnetic moment: 0.00 μB/f.u.

Cell lengths 16.1477, 3.9669, 7.0658 Å; angles 90.00, 90.00, 90.00 degrees
Atoms (fractional coordinates):
Sm  0.0383  0.2500  0.1995
Sm  0.1625  0.2500  0.7600
Sm  0.3375  0.7500  0.2600
Sm  0.4617  0.7500  0.6995
Sm  0.5383  0.2500  0.3005
Sm  0.6625  0.2500  0.7400
Sm  0.8375  0.7500  0.2400
Sm  0.9617  0.7500  0.8005
Se  0.1003  0.7500  0.5086
Se  0.1780  0.7500  0.0540
Se  0.3220  0.2500  0.5540
Se  0.3997  0.2500  0.0086
Se  0.6003  0.7500  0.9914
Se  0.6780  0.7500  0.4460
Se  0.8220  0.2500  0.9460
Se  0.8997  0.2500  0.4914
O  0.0306  0.2500  0.8712
O  0.4694  0.7500  0.3712
O  0.5306  0.2500  0.6288
O  0.9694  0.7500  0.1288


This record from Alexandria describes a crystal of Ho2CuOs relaxed with PBEsol. The functional is meta-GGA SCAN.

Properties
total energy: -46.670 eV/atom
total magnetic moment: 0.00 μB/f.u.
ΔE_f: -0.406 eV/atom

Cell lengths 4.7493, 4.7493, 4.7493 Å; angles 60.00, 60.00, 60.00 degrees
Atoms (fractional coordinates):
Ho  0.2500  0.2500  0.2500
Ho  0.7500  0.7500  0.7500
Cu  0.0000  0.0000  0.0000
Os  0.5000  0.5000  0.5000